(1)
Material: BeNb2HPd
Method: DFT, GGA-PBE
State: relaxed

abc: 4.027 4.027 3.943
angles: 90.00 90.00 90.00
Atoms (fractional coordinates):
Be 0.000 0.000 0.000
Nb 0.000 0.500 0.500
Nb 0.500 0.000 0.500
H 0.000 0.000 0.500
Pd 0.500 0.500 0.000

Computed properties:
The calculation puts the calculated total energy at -6.5596 eV per atom. Its symmetry is P4/mmm (123). The value obtained for the calculated density is 7.85 g/cm³. The size of the total moment comes out at 0.00 μB per formula unit.

(2)
Material: Rb2BeNbH
Method: DFT, GGA-PBE
State: relaxed

abc: 7.076 7.076 3.225
angles: 90.00 90.00 90.00
Atoms (fractional coordinates):
Rb 0.000 0.500 0.000
Rb 0.500 0.000 0.000
Be 0.000 0.000 0.000
Nb 0.500 0.500 0.500
H 0.000 0.000 0.500

Computed properties:
The calculation puts the calculated total energy at -2.4529 eV per atom. Its symmetry is P4/mmm (123). The value obtained for the calculated density is 2.82 g/cm³. The size of the total moment comes out at 3.79 μB per formula unit.